## MnSi2N (PBE)

Data for a geometry-optimized MnSi2N structure.

Lattice parameters (Å, degrees): 5.341 5.341 6.897 90.00 90.00 90.00
Space group I-42d (No. 122)
Asymmetric unit:
Mn1 0.000 0.000 0.000 x4
Si1 0.176 0.250 0.625 x8
N1 0.000 0.000 0.500 x4

Its calculated total energy is -28.260 eV/f.u. As for the energy relative to the elements, uncorrected: 0.020 eV/atom.


## Dy5Mg2Tc2 (PBE)

Data for a geometry-optimized Dy5Mg2Tc2 structure.

Lattice parameters (Å, degrees): 17.680 7.321 7.482 90.00 90.00 90.00
Space group Cmce (No. 64)
Asymmetric unit:
Dy1 0.000 0.000 0.000 x4
Dy2 0.116 0.184 0.314 x16
Mg1 0.232 0.000 0.000 x8
Tc1 0.000 0.109 0.618 x8

Its calculated total energy is -47.089 eV/f.u. As for the energy relative to the elements: -0.02 eV per atom.


## Ba2Bi4PbAu3 (PBE)

Data for a geometry-optimized Ba2Bi4PbAu3 structure.

Lattice parameters (Å, degrees): 5.071 5.071 12.474 90.00 90.00 90.00
Space group P-4m2 (No. 115)
Asymmetric unit:
Ba1 0.000 0.500 0.242 x2
Bi1 0.000 0.000 0.000 x1
Bi2 0.000 0.500 0.649 x2
Bi3 0.500 0.500 0.000 x1
Pb1 0.000 0.000 0.500 x1
Au1 0.000 0.500 0.876 x2
Au2 0.500 0.500 0.500 x1

Its calculated total energy is -37.255 eV/f.u. As for the energy relative to the elements: -0.43 eV per atom.


## IrPt3 (PBE)

Data for a geometry-optimized IrPt3 structure.

Lattice parameters (Å, degrees): 4.797 9.177 5.606 90.00 90.00 90.00
Space group Pnma (No. 62)
Asymmetric unit:
Ir1 0.076 0.250 0.133 x4
Pt1 0.076 0.250 0.624 x4
Pt2 0.247 0.502 0.876 x8

Its calculated total energy is -26.672 eV/f.u. As for the energy relative to the elements: 0.08 eV per atom.


## Ti12Al3Zn (PBE)

Data for a geometry-optimized Ti12Al3Zn structure.

Lattice parameters (Å, degrees): 4.039 4.039 16.148 90.00 90.00 90.00
Space group P4/mmm (No. 123)
Asymmetric unit:
Ti1 0.000 0.000 0.000 x1
Ti2 0.000 0.000 0.248 x2
Ti3 0.000 0.000 0.500 x1
Ti4 0.000 0.500 0.124 x4
Ti5 0.000 0.500 0.375 x4
Al1 0.500 0.500 0.249 x2
Al2 0.500 0.500 0.500 x1
Zn1 0.500 0.500 0.000 x1

Its calculated total energy is -110.822 eV/f.u. As for the energy relative to the elements: -0.22 eV per atom.


## SiBi2HO (PBE)

Data for a geometry-optimized SiBi2HO structure.

Lattice parameters (Å, degrees): 5.148 5.148 3.727 90.00 90.00 90.00
Space group P4/mmm (No. 123)
Asymmetric unit:
Si1 0.000 0.000 0.000 x1
Bi1 0.000 0.500 0.500 x2
H1 0.500 0.500 0.000 x1
O1 0.000 0.000 0.500 x1

Its calculated total energy is -19.249 eV/f.u.


| no. | N(E_F) (states/eV per cell) |
| --- | --- |
| 1 | 5.0 |
| 2 | 40.0 |
| 3 | 4.2 |
| 4 | 26.9 |
| 5 | 18.3 |
| 6 | 3.9 |